A.
DFT (PBE) results for a relaxed Cd6Ag2Sn crystal.

Cell lengths 10.1252, 8.6288, 5.0040 Å; angles 90.00, 104.89, 90.00 degrees
Space group C2/m (No. 12)
Inequivalent atoms, fractional coordinates:
1 Cd 0.0857 0.1838 0.2946
2 Cd 0.1623 0.5000 0.5943
3 Ag 0.1788 0.0000 0.8338
4 Sn 0.0000 0.5000 0.0000

B.
DFT (PBE) results for a relaxed Cd6Ag2Sn crystal.

Cell lengths 13.6273, 4.3298, 6.8435 Å; angles 90.00, 103.00, 90.00 degrees
Space group C2/m (No. 12)
Inequivalent atoms, fractional coordinates:
1 Cd 0.1024 0.0000 0.1500
2 Cd 0.1700 0.5000 0.5078
3 Cd 0.2268 0.0000 0.8371
4 Ag 0.0623 0.5000 0.8421
5 Sn 0.0000 0.0000 0.5000

Relative to the most stable structure, the computed energies are A 5.4; B 0.0, all in kJ/mol of atoms.

A.
DFT (PBE) results for a relaxed Cd6Ag8Sn crystal.

Cell lengths 8.2588, 8.2588, 5.3766 Å; angles 90.00, 90.00, 120.00 degrees
Space group P-3 (No. 147)
Inequivalent atoms, fractional coordinates:
1 Cd 0.1220 0.4350 0.0917
2 Ag 0.0112 0.6814 0.4123
3 Ag 0.3333 0.6667 0.6353
4 Sn 0.0000 0.0000 0.0000

B.
DFT (PBE) results for a relaxed Cd6Ag8Sn crystal.

Cell lengths 7.7111, 7.7111, 18.2457 Å; angles 90.00, 90.00, 120.00 degrees
Space group R-3 (No. 148, hexagonal axes)
Inequivalent atoms, fractional coordinates:
1 Cd 0.0403 0.7922 0.3973
2 Ag 0.0000 0.0000 0.2574
3 Ag 0.0043 0.7697 0.8774
4 Sn 0.0000 0.0000 0.0000

Relative to the most stable structure, the computed energies are A 1.8; B 0.0, all in kJ/mol of atoms.

A.
DFT (PBE) results for a relaxed Cd8Ag6Sn crystal.

Cell lengths 9.9195, 9.9195, 12.5491 Å; angles 90.00, 90.00, 120.00 degrees
Space group R-3 (No. 148, hexagonal axes)
Inequivalent atoms, fractional coordinates:
1 Cd 0.0000 0.0000 0.2275
2 Cd 0.0338 0.4068 0.7376
3 Ag 0.0474 0.8509 0.4046
4 Sn 0.0000 0.0000 0.0000

B.
DFT (PBE) results for a relaxed Cd8Ag6Sn crystal.

Cell lengths 8.1198, 8.1198, 17.4473 Å; angles 90.00, 90.00, 120.00 degrees
Space group R-3 (No. 148, hexagonal axes)
Inequivalent atoms, fractional coordinates:
1 Cd 0.0000 0.0000 0.1604
2 Cd 0.0024 0.6618 0.3781
3 Ag 0.9997 0.3292 0.7852
4 Sn 0.0000 0.0000 0.5000

Relative to the most stable structure, the computed energies are A 8.3; B 0.0, all in kJ/mol of atoms.

A.
DFT (PBE) results for a relaxed Cd4Ag5Sn crystal.

Cell lengths 3.0976, 3.0976, 20.8824 Å; angles 90.00, 90.00, 90.00 degrees
Space group P4/mmm (No. 123)
Inequivalent atoms, fractional coordinates:
1 Cd 0.0000 0.0000 0.0969
2 Cd 0.0000 0.0000 0.2919
3 Ag 0.5000 0.5000 0.0000
4 Ag 0.5000 0.5000 0.1939
5 Ag 0.5000 0.5000 0.3890
6 Sn 0.0000 0.0000 0.5000

B.
DFT (PBE) results for a relaxed Cd4Ag5Sn crystal.

Cell lengths 9.1929, 9.1929, 5.2055 Å; angles 90.00, 90.00, 90.00 degrees
Space group I4 (No. 79)
Inequivalent atoms, fractional coordinates:
1 Cd 0.0432 0.6631 0.0000
2 Ag 0.0000 0.0000 0.2454
3 Ag 0.1580 0.7644 0.4958
4 Sn 0.0000 0.0000 0.7507

Relative to the most stable structure, the computed energies are A 0.0; B 12.8, all in kJ/mol of atoms.

A.
DFT (PBE) results for a relaxed Cd2Ag4Sn crystal.

Cell lengths 5.3819, 3.1068, 16.8329 Å; angles 90.00, 90.12, 90.00 degrees
Space group Cm (No. 8)
Inequivalent atoms, fractional coordinates:
1 Cd 0.0000 0.0000 0.0000
2 Cd 0.0024 0.0000 0.2811
3 Ag 0.1655 0.5000 0.8592
4 Ag 0.1709 0.5000 0.5572
5 Ag 0.3341 0.0000 0.1403
6 Ag 0.3369 0.0000 0.4215
7 Sn 0.0011 0.0000 0.7079

B.
DFT (PBE) results for a relaxed Cd2Ag4Sn crystal.

Cell lengths 5.7660, 10.0844, 5.7628 Å; angles 90.00, 119.23, 90.00 degrees
Space group C2/m (No. 12)
Inequivalent atoms, fractional coordinates:
1 Cd 0.0000 0.2491 0.0000
2 Ag 0.0000 0.2995 0.5000
3 Ag 0.1997 0.5000 0.9003
4 Sn 0.0000 0.0000 0.5000

Relative to the most stable structure, the computed energies are A 0.0; B 2.6, all in kJ/mol of atoms.

A.
DFT (PBE) results for a relaxed SrCdAg3 crystal.

Cell lengths 5.2419, 5.2419, 5.2419 Å; angles 90.00, 90.00, 90.00 degrees
Space group Pm-3m (No. 221)
Inequivalent atoms, fractional coordinates:
1 Sr 0.0000 0.0000 0.0000
2 Cd 0.5000 0.5000 0.5000
3 Ag 0.0000 0.5000 0.5000

B.
DFT (PBE) results for a relaxed SrCdAg3 crystal.

Cell lengths 6.9563, 6.9563, 5.9672 Å; angles 90.00, 90.00, 120.00 degrees
Space group P6_3/mmc (No. 194)
Inequivalent atoms, fractional coordinates:
1 Sr 0.3333 0.6667 0.2500
2 Cd 0.0000 0.0000 0.0000
3 Ag 0.1998 0.3995 0.7500

C.
DFT (PBE) results for a relaxed SrCdAg3 crystal.

Cell lengths 12.7870, 6.2122, 6.2120 Å; angles 90.00, 90.00, 90.00 degrees
Space group Pnna (No. 52)
Inequivalent atoms, fractional coordinates:
1 Sr 0.2500 0.0000 0.9996
2 Cd 0.9998 0.2500 0.2500
3 Ag 0.0004 0.2500 0.7500
4 Ag 0.1427 0.9997 0.4992

D.
DFT (PBE) results for a relaxed SrCdAg3 crystal.

Cell lengths 5.8835, 5.8835, 5.8835 Å; angles 90.00, 90.00, 90.00 degrees
Space group Pm-3m (No. 221)
Inequivalent atoms, fractional coordinates:
1 Sr 0.0000 0.0000 0.0000
2 Cd 0.5000 0.5000 0.5000
3 Ag 0.0000 0.0000 0.5000

Relative to the most stable structure, the computed energies are A 26.6; B 3.6; C 0.0; D 98.9, all in kJ/mol of atoms.

A.
DFT (PBE) results for a relaxed Sr2Cd2Ag crystal.

Cell lengths 11.8027, 4.8730, 12.1355 Å; angles 90.00, 116.37, 90.00 degrees
Space group C2/m (No. 12)
Inequivalent atoms, fractional coordinates:
1 Sr 0.0112 0.0000 0.3367
2 Sr 0.1940 0.0000 0.1163
3 Cd 0.0170 0.5000 0.8846
4 Cd 0.1485 0.5000 0.5591
5 Ag 0.2176 0.5000 0.3411

B.
DFT (PBE) results for a relaxed Sr2Cd2Ag crystal.

Cell lengths 7.8812, 7.8812, 5.0759 Å; angles 90.00, 90.00, 90.00 degrees
Space group P4/mbm (No. 127)
Inequivalent atoms, fractional coordinates:
1 Sr 0.1763 0.3237 0.0000
2 Cd 0.1311 0.6311 0.5000
3 Ag 0.0000 0.0000 0.5000

Relative to the most stable structure, the computed energies are A 0.0; B 9.7, all in kJ/mol of atoms.

A.
DFT (PBE) results for a relaxed Sr2Cd2Ag crystal.

Cell lengths 6.4448, 6.4448, 8.2742 Å; angles 90.00, 90.00, 90.00 degrees
Space group I4/mmm (No. 139)
Inequivalent atoms, fractional coordinates:
1 Sr 0.0000 0.5000 0.2500
2 Cd 0.0000 0.0000 0.1633
3 Ag 0.0000 0.0000 0.5000

B.
DFT (PBE) results for a relaxed Sr2Cd2Ag crystal.

Cell lengths 8.8156, 8.8156, 4.5534 Å; angles 90.00, 90.00, 90.00 degrees
Space group P4/mbm (No. 127)
Inequivalent atoms, fractional coordinates:
1 Sr 0.1724 0.3276 0.0000
2 Cd 0.1241 0.6241 0.5000
3 Ag 0.0000 0.0000 0.0000

C.
DFT (PBE) results for a relaxed Sr2Cd2Ag crystal.

Cell lengths 11.9588, 5.1685, 10.5593 Å; angles 90.00, 112.36, 90.00 degrees
Space group C2/m (No. 12)
Inequivalent atoms, fractional coordinates:
1 Sr 0.1052 0.0000 0.3895
2 Sr 0.1701 0.0000 0.0518
3 Cd 0.0090 0.5000 0.1463
4 Cd 0.1037 0.5000 0.6372
5 Ag 0.2261 0.0000 0.7297

Relative to the most stable structure, the computed energies are A 18.3; B 21.9; C 0.0, all in kJ/mol of atoms.

A.
DFT (PBE) results for a relaxed Sr3CdAg crystal.

Cell lengths 5.7307, 7.5946, 8.7153 Å; angles 95.35, 90.20, 94.95 degrees
Space group P1 (No. 1)
Inequivalent atoms, fractional coordinates:
1 Sr 0.0000 0.0000 0.0000
2 Sr 0.0077 0.1918 0.5139
3 Sr 0.4218 0.5319 0.8420
4 Sr 0.4857 0.8879 0.3237
5 Sr 0.9521 0.7011 0.6041
6 Sr 0.9735 0.5060 0.1785
7 Cd 0.4895 0.4358 0.4004
8 Cd 0.5043 0.0219 0.7498
9 Ag 0.5140 0.2250 0.0894
10 Ag 0.8742 0.3453 0.8387

B.
DFT (PBE) results for a relaxed Sr3CdAg crystal.

Cell lengths 6.0900, 6.0900, 6.0900 Å; angles 90.00, 90.00, 90.00 degrees
Space group Pm-3m (No. 221)
Inequivalent atoms, fractional coordinates:
1 Sr 0.0000 0.0000 0.5000
2 Cd 0.5000 0.5000 0.5000
3 Ag 0.0000 0.0000 0.0000

C.
DFT (PBE) results for a relaxed Sr3CdAg crystal.

Cell lengths 10.0683, 9.0399, 9.0088 Å; angles 90.00, 116.52, 90.00 degrees
Space group P2_1/c (No. 14)
Inequivalent atoms, fractional coordinates:
1 Sr 0.0295 0.0303 0.3103
2 Sr 0.2763 0.1158 0.0873
3 Sr 0.3892 0.7152 0.9537
4 Cd 0.3482 0.0335 0.7275
5 Ag 0.1093 0.7076 0.5572

Relative to the most stable structure, the computed energies are A 6.3; B 17.5; C 0.0, all in kJ/mol of atoms.